1.
TcSbI2F: relaxed, GGA-PBE.

POSCAR file:
```
TcSbI2F
1.0
5.6057 0.0000 0.0000
0.0000 4.0996 0.0000
0.0000 0.0000 5.6057
Tc F I Sb
1 1 2 1
direct
0.0000 0.0000 0.0000
0.0000 0.5000 0.0000
0.0000 0.0000 0.5000
0.5000 0.0000 0.0000
0.5000 0.5000 0.5000
```

## Properties
total moment	2.214	μB per cell
DOS(E_F)	0.894	states/eV/atom
uncorrected formation energy	-0.015	eV/atom

2.
TcSb2IF: relaxed, GGA-PBE.

POSCAR file:
```
TcSb2IF
1.0
-3.3008 -3.0566 1.2517
-0.5202 -1.2664 -4.4643
4.0402 -4.0815 0.6870
I F Sb Tc
1 1 2 1
direct
0.0000 0.0000 0.5000
0.0000 0.0000 0.0000
0.5000 0.0000 0.0000
0.0000 0.5000 0.0000
0.5000 0.5000 0.5000
```

## Properties
total moment	3.469	μB per cell
DOS(E_F)	0.688	states/eV/atom
uncorrected formation energy	0.543	eV/atom

3.
TcSb2IF: relaxed, GGA-PBE.

POSCAR file:
```
TcSb2IF
1.0
5.0823 0.0000 0.0000
0.0000 5.0823 0.0000
0.0000 0.0000 5.5501
I Sb Tc F
1 2 1 1
direct
0.0000 0.0000 0.5000
0.0000 0.5000 0.0000
0.5000 0.0000 0.0000
0.0000 0.0000 0.0000
0.5000 0.5000 0.5000
```

## Properties
total moment	0.247	μB per cell
DOS(E_F)	1.321	states/eV/atom
uncorrected formation energy	0.154	eV/atom

4.
TcSbI2F: relaxed, GGA-PBE.

POSCAR file:
```
TcSbI2F
1.0
5.8395 0.0000 0.0000
0.0000 5.8395 0.0000
0.0000 0.0000 4.2104
I Tc Sb F
2 1 1 1
direct
0.0000 0.5000 0.0000
0.5000 0.0000 0.0000
0.5000 0.5000 0.5000
0.0000 0.0000 0.5000
0.0000 0.0000 0.0000
```

## Properties
total moment	4.043	μB per cell
DOS(E_F)	0.748	states/eV/atom
uncorrected formation energy	0.489	eV/atom